CaMgCd: relaxed, PBE.

Cell and atoms, written as extended XYZ:
```
6
Lattice="-2.536 0.258 -5.508 -0.455 -5.059 3.322 -2.397 3.266 4.519" Properties=species:S:1:pos:R:3 pbc="T T T"
Ca -2.793 2.287 3.005
Ca -2.595 -3.822 -0.673
Mg -1.426 -0.897 3.920
Mg -2.467 1.762 -0.495
Cd -2.694 -0.768 1.166
Cd -0.228 -2.529 1.661
```

Computed properties:
Volume = 79.5 Å³/f.u.
SG = Imma (74)
Calculated formation energy = -0.2519 eV per atom
Electronic total energy = -0.1290 Ry/atom


LaNdGaNi: relaxed, PBE.

Cell and atoms, written as extended XYZ:
```
4
Lattice="3.878 0.000 0.000 0.000 4.413 0.000 -1.939 0.000 5.846" Properties=species:S:1:pos:R:3 pbc="T T T"
La 1.939 2.206 4.176
Nd 0.000 0.000 1.574
Ga 1.939 2.206 0.770
Ni 0.000 0.000 5.172
```

Computed properties:
Energy above the lowest structure with this stoichiometry = 0 meV/atom
Volume = 100.0 Å³/f.u.
SG = Amm2 (38)
Calculated formation energy = -0.4218 eV per atom
Electronic total energy = -0.3710 Ry/atom


ZrV3In: relaxed, PBE.

Cell and atoms, written as extended XYZ:
```
5
Lattice="-3.459 3.096 0.603 -1.303 -2.217 3.911 2.872 2.722 2.500" Properties=species:S:1:pos:R:3 pbc="T T T"
In -0.945 1.800 3.507
Zr 0.000 0.000 0.000
V -0.651 -1.109 1.956
V 1.436 1.361 1.250
V -1.729 1.548 0.301
```

Computed properties:
Energy above the lowest structure with this stoichiometry = 0 meV/atom
Volume = 102.5 Å³/f.u.
SG = Pm-3m (221)
Calculated formation energy = 1.4515 eV per atom
Electronic total energy = -0.4614 Ry/atom


Pr3SmY6: relaxed, PBE.

Cell and atoms, written as extended XYZ:
```
10
Lattice="8.852 0.000 4.698 3.180 8.261 4.698 2.263 1.554 6.426" Properties=species:S:1:pos:R:3 pbc="T T T"
Pr 6.363 4.369 9.388
Pr 7.677 5.271 6.912
Pr 2.784 1.912 5.443
Sm 11.247 7.723 10.874
Y 10.554 5.277 8.459
Y 5.813 7.954 6.919
Y 6.643 2.568 5.397
Y 3.811 4.613 6.967
Y 8.755 1.900 8.602
Y 7.825 7.488 10.144
```

Computed properties:
Energy above the lowest structure with this stoichiometry = 124 meV/atom
Volume = 340.7 Å³/f.u.
SG = R3 (146)
Calculated formation energy = 0.2632 eV per atom
Electronic total energy = -0.4058 Ry/atom


TlPF3: relaxed, PBE.

Cell and atoms, written as extended XYZ:
```
5
Lattice="-1.292 0.030 -4.348 3.331 -2.907 -1.011 -2.794 -3.481 0.806" Properties=species:S:1:pos:R:3 pbc="T T T"
P -0.377 -3.179 -2.276
Tl 0.000 0.000 0.000
F 1.666 -1.454 -0.505
F -1.397 -1.741 0.403
F -0.646 0.015 -2.174
```

Computed properties:
Energy above the lowest structure with this stoichiometry = 563 meV/atom
Volume = 93.3 Å³/f.u.
SG = Pm-3m (221)
Electronic total energy = -0.2504 Ry/atom


Cs2InAgI4: relaxed, PBE.

Cell and atoms, written as extended XYZ:
```
16
Lattice="10.348 -0.335 -0.079 -0.343 10.347 -0.079 -4.963 -4.967 7.621" Properties=species:S:1:pos:R:3 pbc="T T T"
Cs 5.174 -0.168 -0.039
Cs 2.692 -2.651 3.771
Cs -2.482 -2.483 3.810
Cs 5.002 5.006 -0.079
In -0.171 5.174 -0.039
In 7.694 2.355 3.692
Ag 2.521 2.523 3.731
Ag 5.384 -5.302 7.542
I -2.708 2.584 7.381
I 5.319 -0.074 3.892
I -0.277 5.119 3.571
I 7.749 2.461 0.082
I 8.163 7.987 -0.065
I 4.544 4.366 3.639
I 0.497 0.679 3.824
I -3.122 -2.942 7.528
```

Computed properties:
Volume = 403.3 Å³/f.u.
SG = C2/c (15)
Electronic total energy = -0.1889 Ry/atom